The following is a DFT calculation (SCAN) of TaBeP2O at its PBEsol-relaxed geometry.

Output
Formation energy from raw total energies: -215.4 meV per atom

The structure in POSCAR format:
```
TaBeP2O
1.0
2.8291 0.0000 0.0000
0.0000 4.7926 0.0000
0.0000 0.0000 4.7926
P Be O Ta
2 1 1 1
Direct
0.0000 0.0000 0.5000 P
0.0000 0.5000 0.0000 P
0.0000 0.0000 0.0000 Be
0.5000 0.0000 0.0000 O
0.5000 0.5000 0.5000 Ta
```